Entry from Alexandria via LeMat-Bulk: crystalline CeHfNi2P2 at its relaxed geometry (PBE).

Cell and atoms, written as POSCAR:
```
CeHfNi2P2
1.0
3.834 0.000 0.000
-1.917 3.320 0.000
0.000 0.000 7.587
Ce Hf Ni P
1 1 2 2
direct
0.000 0.000 0.000
0.000 0.000 0.500
0.333 0.667 0.722
0.667 0.333 0.278
0.333 0.667 0.264
0.667 0.333 0.736
```

Results
- Total moment: 0.2 μB per formula unit
- Crystal system: trigonal
- E: -7.48 eV per atom
- Energy of formation from the pure elements: -6.606 eV/f.u.
- Density: 8.56 g cm⁻³



Entry from Alexandria via LeMat-Bulk: crystalline OsPbI2N at its relaxed geometry (PBE).

Cell and atoms, written as POSCAR:
```
OsPbI2N
1.0
5.740 0.000 0.000
0.000 5.740 0.000
0.000 0.000 3.818
Os Pb I N
1 1 2 1
direct
0.000 0.000 0.000
0.500 0.500 0.500
0.000 0.500 0.000
0.500 0.000 0.000
0.000 0.000 0.500
```

Results
- E above lowest polymorph: 0.0 kJ/mol of formula units
- Total moment: 0.0 μB per formula unit
- Crystal system: tetragonal
- E: -4.92 eV per atom
- Density: 8.78 g cm⁻³



Entry from Alexandria via LeMat-Bulk: crystalline Cu2Ag2Sn at its relaxed geometry (PBE).

Cell and atoms, written as POSCAR:
```
Cu2Ag2Sn
1.0
-1.946 1.946 6.087
1.946 -1.946 6.087
1.946 1.946 -6.087
Cu Ag Sn
2 2 1
direct
0.097 0.097 0.000
0.903 0.903 0.000
0.250 0.750 0.500
0.750 0.250 0.500
0.500 0.500 0.000
```

Results
- E above lowest polymorph: 58.2 kJ/mol of formula units
- Total moment: 0.0 μB per formula unit
- Crystal system: tetragonal
- E: -3.36 eV per atom
- Energy of formation from the pure elements: 1.078 eV/f.u.
- Density: 8.31 g cm⁻³



Entry from Alexandria via LeMat-Bulk: crystalline Pr7Cd2Co2 at its relaxed geometry (PBE).

Cell and atoms, written as POSCAR:
```
Pr7Cd2Co2
1.0
4.012 -5.728 0.000
4.012 5.728 0.000
0.000 0.000 7.307
Pr Cd Co
7 2 2
direct
0.000 0.000 0.000
0.000 0.500 0.246
0.000 0.500 0.754
0.500 0.000 0.246
0.500 0.000 0.754
0.500 0.500 0.234
0.500 0.500 0.766
0.173 0.173 0.500
0.827 0.827 0.500
0.295 0.705 0.000
0.705 0.295 0.000
```

Results
- E above lowest polymorph: 0.0 kJ/mol of formula units
- Total moment: 0.0 μB per formula unit
- Crystal system: orthorhombic
- E: -4.56 eV per atom
- Energy of formation from the pure elements: -0.660 eV/f.u.
- Density: 6.57 g cm⁻³